# 1
8
Lattice="-4.5545 1.7019 4.4267 -3.9111 -4.8192 -2.1713 -2.6546 -3.9927 3.6873" Properties=species:S:1:pos:R:3 comment="HfSb2N GGA-PBE relaxed" density_g_cm3=8.66 raw_formation_energy_mev_per_atom=470 sg=I-42d pbc="T T T"
N -5.3993 -5.1853 1.3218
N -4.2328 -1.5587 1.1277
Sb -9.0714 -5.3193 4.9205
Sb -4.0582 -3.6552 0.4882
Sb -5.4926 -4.5665 3.4297
Sb -3.6183 -0.6792 3.0470
Hf -5.7210 -1.9248 4.6209
Hf 0.0000 0.0000 0.0000

---

# 2
8
Lattice="-1.2693 -3.8866 3.9878 -3.1284 -2.8858 -3.8084 2.1345 -6.2372 -1.3097" Properties=species:S:1:pos:R:3 comment="Hf2SbN GGA-PBE relaxed" density_g_cm3=9.34 polymorph_energy_kj_per_mol_fu=96 raw_formation_energy_mev_per_atom=-683 sg=I-42d pbc="T T T"
N -1.5964 -6.2546 -2.5142
N -2.1989 -3.3862 0.0897
Hf -1.8991 -10.2827 -0.4015
Hf -1.7216 -4.2812 -1.7655
Hf -0.3964 -7.5387 -1.3387
Hf -0.5095 -3.9167 1.2452
Sb 0.0000 0.0000 0.0000
Sb -0.6669 -6.7550 1.3839

---

# 3
7
Lattice="-2.2347 -5.1684 -1.1723 4.2537 2.6272 -2.8433 2.4331 -0.9257 5.1287" Properties=species:S:1:pos:R:3 comment="Hf4SbN2 GGA-PBE relaxed" density_g_cm3=10.52 polymorph_energy_kj_per_mol_fu=0 raw_formation_energy_mev_per_atom=-751 sg=I4/m pbc="T T T"
Sb 1.0095 -1.2706 -2.0078
Hf 3.7475 -1.7844 -0.3060
Hf -0.2276 -4.0654 -0.8611
Hf 4.6798 0.5985 1.9742
Hf 0.7047 -1.6826 1.4191
N 0.6040 -3.6824 0.9743
N 3.8482 0.2154 0.1388

---

# 4
4
Lattice="-1.5444 -0.3055 4.3756 0.1394 3.7249 2.7803 -3.9450 2.1341 1.2276" Properties=species:S:1:pos:R:3 comment="Hf2SbN GGA-PBE relaxed" density_g_cm3=11.51 polymorph_energy_kj_per_mol_fu=451 raw_formation_energy_mev_per_atom=237 sg=Fm-3m pbc="T T T"
Sb -2.6750 2.7767 4.1918
Hf -4.0125 4.1651 6.2876
Hf -1.3375 1.3884 2.0959
N 0.0000 0.0000 0.0000